1.
First-principles (PBE) data for a relaxed LaDyEr2Tm crystal, as listed in Alexandria via LeMat-Bulk.

Calculated values
As for the energy: -4.2595 eV per atom.

Cell: 8.385 11.455 7.207 Å, 90.00 90.00 90.00°
Space group Cmcm (No. 63)
Unique sites:
La 0.000 0.233 0.250 (multiplicity 4)
Dy 0.000 0.497 0.750 (multiplicity 4)
Er 0.189 0.000 0.000 (multiplicity 8)
Tm 0.000 0.217 0.750 (multiplicity 4)



2.
First-principles (PBE) data for a relaxed BaNd4S6 crystal, as listed in Alexandria via LeMat-Bulk.

Calculated values
The calculation puts the uncorrected formation energy at -2.05 eV/atom.

Cell: 4.117 13.541 21.009 Å, 90.00 90.00 90.00°
Space group Cmcm (No. 63)
Unique sites:
Ba 0.000 0.158 0.250 (multiplicity 4)
Nd 0.000 0.096 0.629 (multiplicity 8)
Nd 0.000 0.363 0.541 (multiplicity 8)
S 0.000 0.000 0.000 (multiplicity 4)
S 0.000 0.172 0.750 (multiplicity 4)
S 0.000 0.269 0.086 (multiplicity 8)
S 0.000 0.460 0.659 (multiplicity 8)